Record 1
Material: Na2AcMoO6
Method: DFT, PBE+U
State: relaxed

The structure in POSCAR format:
```
Na2AcMoO6
1.0
5.8026 0.0000 0.0000
0.0000 6.0418 0.0000
-5.7256 0.0000 8.3781
Na Ac Mo O
4 2 2 12
direct
0.2361 0.0378 0.2347
0.2361 0.4622 0.7347
0.7639 0.5378 0.2653
0.7639 0.9622 0.7653
0.0000 0.0000 0.5000
0.0000 0.5000 0.0000
0.5000 0.0000 0.0000
0.5000 0.5000 0.5000
0.1749 0.1562 0.9603
0.1749 0.3438 0.4603
0.2819 0.7262 0.9282
0.2819 0.7738 0.4282
0.3866 0.0666 0.7827
0.3866 0.4334 0.2827
0.6134 0.5666 0.7173
0.6134 0.9334 0.2173
0.7181 0.2262 0.5718
0.7181 0.2738 0.0718
0.8251 0.6562 0.5397
0.8251 0.8438 0.0397
```

Properties
Space group ... No. 14

=====

Record 2
Material: Na2AcMoO5
Method: DFT, PBE+U
State: relaxed

The structure in POSCAR format:
```
Na2AcMoO5
1.0
-3.6881 3.6881 5.1702
3.6881 -3.6881 5.1702
3.6881 3.6881 -5.1702
Na Ac Mo O
4 2 2 10
direct
0.2073 0.7073 0.9146
0.2927 0.2073 0.5000
0.7073 0.7927 0.5000
0.7927 0.2927 0.0854
0.2500 0.2500 0.0000
0.7500 0.7500 0.0000
0.2500 0.7500 0.5000
0.7500 0.2500 0.5000
0.0000 0.0000 0.0000
0.0088 0.8203 0.5000
0.1797 0.6797 0.1885
0.3203 0.5088 0.5000
0.4912 0.9912 0.8115
0.5000 0.5000 0.0000
0.5088 0.0088 0.1885
0.6797 0.4912 0.5000
0.8203 0.3203 0.8115
0.9912 0.1797 0.5000
```

Properties
Space group ... No. 140

=====

Record 3
Material: Na3Ac2MoO6
Method: DFT, PBE+U
State: relaxed

The structure in POSCAR format:
```
Na3Ac2MoO6
1.0
3.0951 -5.4890 0.0000
3.0951 5.4890 0.0000
-1.8517 0.0000 5.6826
Na Ac Mo O
3 2 1 6
direct
0.0000 0.0000 0.0000
0.3639 0.6361 0.0000
0.6361 0.3639 0.0000
0.1682 0.8318 0.5000
0.8318 0.1682 0.5000
0.5000 0.5000 0.5000
0.1372 0.4337 0.2826
0.2578 0.2578 0.7133
0.4337 0.1372 0.2826
0.5663 0.8628 0.7174
0.7422 0.7422 0.2867
0.8628 0.5663 0.7174
```

Properties
Space group ... No. 12

=====

Record 4
Material: NaAc2MoO5
Method: DFT, PBE+U
State: relaxed

The structure in POSCAR format:
```
NaAc2MoO5
1.0
7.3090 0.0000 0.0000
0.0000 7.3090 0.0000
0.0000 0.0000 5.9094
Na Ac Mo O
2 4 2 10
direct
0.0000 0.0000 0.0000
0.5000 0.5000 0.0000
0.1810 0.3190 0.5000
0.3190 0.8190 0.5000
0.6810 0.1810 0.5000
0.8190 0.6810 0.5000
0.0000 0.5000 0.0000
0.5000 0.0000 0.0000
0.0000 0.0000 0.5000
0.1319 0.6319 0.2419
0.1319 0.6319 0.7581
0.3681 0.1319 0.2419
0.3681 0.1319 0.7581
0.5000 0.5000 0.5000
0.6319 0.8681 0.2419
0.6319 0.8681 0.7581
0.8681 0.3681 0.2419
0.8681 0.3681 0.7581
```

Properties
Space group ... No. 127

=====

Record 5
Material: Na2Ac2MoO6
Method: DFT, PBE+U
State: relaxed

The structure in POSCAR format:
```
Na2Ac2MoO6
1.0
3.1534 -5.4461 0.0000
3.1534 5.4461 0.0000
-1.1611 0.0000 5.7815
Na Ac Mo O
2 2 1 6
direct
0.1277 0.8723 0.0000
0.8723 0.1277 0.0000
0.3378 0.6622 0.5000
0.6622 0.3378 0.5000
0.0000 0.0000 0.5000
0.0254 0.3272 0.6866
0.2280 0.2280 0.2937
0.3272 0.0254 0.6866
0.6728 0.9746 0.3134
0.7720 0.7720 0.7063
0.9746 0.6728 0.3134
```

Properties
Space group ... No. 12

=====

Record 6
Material: Na3Ac3MoO8
Method: DFT, PBE+U
State: relaxed

The structure in POSCAR format:
```
Na3Ac3MoO8
1.0
6.0062 -3.6647 0.0000
6.0062 3.6647 0.0000
-3.6508 0.0000 5.9468
Na Ac Mo O
3 3 1 8
direct
0.0000 0.0000 0.0000
0.0000 0.5000 0.5000
0.5000 0.0000 0.5000
0.0000 0.5000 0.0000
0.5000 0.0000 0.0000
0.5000 0.5000 0.5000
0.0000 0.0000 0.5000
0.2075 0.7840 0.2918
0.2150 0.2150 0.7263
0.2160 0.7925 0.7082
0.2605 0.2605 0.2454
0.7395 0.7395 0.7546
0.7840 0.2075 0.2918
0.7850 0.7850 0.2737
0.7925 0.2160 0.7082
```

Properties
Space group ... No. 12

=====

Number 1: final energy -126.12 eV for the cell shown. Number 2: final energy -112.61 eV for the cell shown. Number 3: final energy -75.57 eV for the cell shown. Number 4: final energy -125.46 eV for the cell shown. Number 5: final energy -73.15 eV for the cell shown. Number 6: final energy -98.61 eV for the cell shown.